Mg2NiSb: relaxed, PBE.

Values from the calculation:
final energy = -3.498 eV per atom
size of the total moment = 0.0 μB per formula unit
energy relative to the elements, uncorrected = -224 meV/atom
V = 85 Å³ per cell

Cell: 4.478 4.478 4.910 Å, 90.00 90.00 120.00°
Fractional positions:
Mg 0.333 0.667 0.184
Mg 0.667 0.333 0.816
Ni 0.000 0.000 0.000
Sb 0.000 0.000 0.500